Here is a geometry-optimized BeNiN2F structure from Alexandria via LeMat-Bulk. Energies are from PBE with a Hubbard U.

Computed properties:
Energy   -4.4419 eV/atom
Space-group type   P4/mmm (123)

Lattice parameters (Å, degrees): 3.328 3.328 4.085 90.00 90.00 90.00
Fractional positions:
N 0.000 0.500 0.000
F 0.000 0.000 0.500
Be 0.000 0.000 0.000
Ni 0.500 0.500 0.500
N 0.500 0.000 0.000